No. 1
{
  "formula": "MgPa2AgO8",
  "functional": "PBE-GGA",
  "state": "optimized geometry",
  "lattice": [[6.0373, 0.0000, 0.0000], [-3.0187, 5.2285, 0.0000], [0.0000, 0.0000, 5.3341]],
  "species": ["Mg", "Pa", "Pa", "Ag", "O", "O", "O", "O", "O", "O", "O", "O"],
  "frac_coords": [[0.0000, 0.0000, 0.0000], [0.3333, 0.6667, 0.4031], [0.6667, 0.3333, 0.5969], [0.0000, 0.0000, 0.5000], [0.0450, 0.3284, 0.6895], [0.2834, 0.9550, 0.6895], [0.3284, 0.2834, 0.3105], [0.3333, 0.6667, 0.0506], [0.6667, 0.3333, 0.9494], [0.6716, 0.7166, 0.6895], [0.7166, 0.0450, 0.3105], [0.9550, 0.6716, 0.3105]],
  "energy_ev_per_atom": -7.20,
  "raw_formation_energy_ev_per_atom": -1.94,
  "magnetic_moment_mub_per_fu": 1.1,
  "mass_density_g_cm3": 7.12
}

No. 2
{
  "formula": "Er2Cu3Hg",
  "functional": "PBE-GGA",
  "state": "optimized geometry",
  "lattice": [[0.0000, 4.4693, 7.5958], [3.4625, 0.0000, 7.5958], [3.4625, 4.4693, 0.0000]],
  "species": ["Er", "Er", "Er", "Er", "Cu", "Cu", "Cu", "Cu", "Cu", "Cu", "Hg", "Hg"],
  "frac_coords": [[0.2430, 0.7570, 0.7570], [0.2500, 0.2500, 0.2500], [0.7500, 0.7500, 0.7500], [0.7570, 0.2430, 0.2430], [0.1599, 0.1599, 0.8401], [0.1596, 0.6783, 0.3217], [0.3217, 0.8404, 0.1596], [0.6783, 0.1596, 0.8404], [0.8404, 0.3217, 0.6783], [0.8401, 0.8401, 0.1599], [0.3338, 0.3338, 0.6662], [0.6662, 0.6662, 0.3338]],
  "energy_ev_per_atom": -3.88,
  "delta_e_f_ev_per_atom": -0.264,
  "magnetic_moment_mub_per_fu": 0.0,
  "mass_density_g_cm3": 10.25
}